First-principles (PBE) data for crystalline InIrSe2 at its relaxed geometry, as listed in Alexandria.

Structure (CIF):
```
data_InIrSe2
_cell_length_a 3.7258
_cell_length_b 4.3272
_cell_length_c 11.9850
_cell_angle_alpha 90.00
_cell_angle_beta 90.00
_cell_angle_gamma 90.00
_space_group_name_H-M_alt 'I m m m'
_space_group_IT_number 71
_space_group_name_Hall '-I 2 2'
loop_
_atom_site_label
_atom_site_type_symbol
_atom_site_fract_x
_atom_site_fract_y
_atom_site_fract_z
_atom_site_occupancy
In1 In 0.0000 0.0000 0.0000 1
Ir1 Ir 0.0000 0.0000 0.5000 1
Se1 Se 0.0000 0.5000 0.1463 1
```

Output
Magnetization, μB per cell: 0.0
Formation energy (no corrections), kJ per mole of atoms: -13.1

First-principles (PBE) data for crystalline RePBr at its relaxed geometry, as listed in Alexandria.

Structure (CIF):
```
data_RePBr
_cell_length_a 3.0650
_cell_length_b 5.0493
_cell_length_c 16.2086
_cell_angle_alpha 90.00
_cell_angle_beta 90.00
_cell_angle_gamma 90.00
_space_group_name_H-M_alt 'F m m 2'
_space_group_IT_number 42
_space_group_name_Hall 'F 2 -2'
loop_
_atom_site_label
_atom_site_type_symbol
_atom_site_fract_x
_atom_site_fract_y
_atom_site_fract_z
_atom_site_occupancy
Re1 Re 0.0000 0.0000 0.0000 1
P1 P 0.0000 0.0000 0.3925 1
Br1 Br 0.0000 0.0000 0.6494 1
```

Output
Magnetization, μB per cell: 0.0
Formation energy (no corrections), kJ per mole of atoms: 54.6

- Number 2 is which compound?
  RePBr

- Which formula does entry 1 have?
  InIrSe2